Here is a relaxed structure of Lu3As2Se from OQMD via LeMat-Bulk. Energies are from PBE.

```
data_Lu3As2Se
_symmetry_space_group_name_H-M 'P -3 m 1'
_symmetry_Int_Tables_number 164
_symmetry_space_group_name_Hall '-P 3 2"'
_cell_length_a 4.0168
_cell_length_b 4.0168
_cell_length_c 9.8398
_cell_angle_alpha 90.00
_cell_angle_beta 90.00
_cell_angle_gamma 120.00
loop_
_atom_site_label
_atom_site_type_symbol
_atom_site_fract_x
_atom_site_fract_y
_atom_site_fract_z
_atom_site_occupancy
Lu1 Lu 0.0000 0.0000 0.0000 1
Lu2 Lu 0.3333 0.6667 0.6787 1
As1 As 0.3333 0.6667 0.1667 1
Se1 Se 0.0000 0.0000 0.5000 1
```

Output
- raw total energy (eV per atom) = -5.97
- crystal system = trigonal
- ρ (Mg/m³) = 9.103

Here is a relaxed structure of TbLuAs from OQMD via LeMat-Bulk. Energies are from PBE.

```
data_TbLuAs
_symmetry_space_group_name_H-M 'F -4 3 m'
_symmetry_Int_Tables_number 216
_symmetry_space_group_name_Hall 'F -4 2 3'
_cell_length_a 6.748
_cell_length_b 6.748
_cell_length_c 6.748
_cell_angle_alpha 90.00
_cell_angle_beta 90.00
_cell_angle_gamma 90.00
loop_
_atom_site_label
_atom_site_type_symbol
_atom_site_fract_x
_atom_site_fract_y
_atom_site_fract_z
_atom_site_occupancy
Tb1 Tb 0.000 0.000 0.000 1
Lu1 Lu 0.000 0.000 0.500 1
As1 As 0.250 0.250 0.750 1
```

Output
- raw total energy (eV per atom) = -5.29
- energy above the most stable polymorph in this dataset (eV per formula unit) = 0.00
- crystal system = cubic
- ρ (Mg/m³) = 8.838

Here is a relaxed structure of Lu2TcAs from OQMD via LeMat-Bulk. Energies are from PBE.

```
data_Lu2TcAs
_symmetry_space_group_name_H-M 'F -4 3 m'
_symmetry_Int_Tables_number 216
_symmetry_space_group_name_Hall 'F -4 2 3'
_cell_length_a 6.699
_cell_length_b 6.699
_cell_length_c 6.699
_cell_angle_alpha 90.00
_cell_angle_beta 90.00
_cell_angle_gamma 90.00
loop_
_atom_site_label
_atom_site_type_symbol
_atom_site_fract_x
_atom_site_fract_y
_atom_site_fract_z
_atom_site_occupancy
Lu1 Lu 0.000 0.000 0.000 1
Lu2 Lu 0.250 0.250 0.250 1
Tc1 Tc 0.250 0.250 0.750 1
As1 As 0.000 0.000 0.500 1
```

Output
- raw total energy (eV per atom) = -6.16
- crystal system = cubic
- ρ (Mg/m³) = 11.550

Here is a relaxed structure of LuTcAs from OQMD via LeMat-Bulk. Energies are from PBE.

```
data_LuTcAs
_symmetry_space_group_name_H-M 'F -4 3 m'
_symmetry_Int_Tables_number 216
_symmetry_space_group_name_Hall 'F -4 2 3'
_cell_length_a 6.230
_cell_length_b 6.230
_cell_length_c 6.230
_cell_angle_alpha 90.00
_cell_angle_beta 90.00
_cell_angle_gamma 90.00
loop_
_atom_site_label
_atom_site_type_symbol
_atom_site_fract_x
_atom_site_fract_y
_atom_site_fract_z
_atom_site_occupancy
Lu1 Lu 0.000 0.000 0.000 1
Tc1 Tc 0.000 0.000 0.500 1
As1 As 0.250 0.250 0.250 1
```

Output
- raw total energy (eV per atom) = -6.75
- energy above the most stable polymorph in this dataset (eV per formula unit) = 0.00
- crystal system = cubic
- ρ (Mg/m³) = 9.558